(1)
A relaxed structure of La2AgHg. Source: Alexandria via LeMat-Bulk, functional PBE-GGA.

* formation energy from the elements: -0.24 eV/atom
* space-group type: P4mm (99)
* electronic total energy: -3.489 eV per atom

POSCAR file:
```
La2AgHg
1.0
4.016 0.000 0.000
0.000 4.016 0.000
0.000 0.000 7.288
La Ag Hg
2 1 1
direct
0.000 0.000 0.000 La
0.500 0.500 0.331 La
0.000 0.000 0.545 Ag
0.500 0.500 0.777 Hg
```



(2)
A relaxed structure of MoPbCl2. Source: Alexandria via LeMat-Bulk, functional PBE-GGA.

* space-group type: Pm (6)
* excess energy over the best structure of this formula in the dataset: 48 meV per atom
* ΔE_f (raw): -0.167 eV/atom
* electronic total energy: -4.725 eV per atom

POSCAR file:
```
MoPbCl2
1.0
4.997 0.000 0.000
0.000 3.278 0.000
-1.672 0.000 6.805
Mo Pb Cl
1 1 2
direct
0.000 0.000 0.000 Mo
0.484 0.500 0.936 Pb
0.151 0.500 0.267 Cl
0.779 0.000 0.657 Cl
```



(3)
A relaxed structure of AlAsCl. Source: Alexandria via LeMat-Bulk, functional PBE-GGA.

* space-group type: Cm (8)
* ΔE_f (raw): -0.500 eV/atom
* electronic total energy: -3.913 eV per atom

POSCAR file:
```
AlAsCl
1.0
3.565 -2.026 0.000
3.565 2.026 0.000
-2.741 0.000 5.472
Al As Cl
1 1 1
direct
0.000 0.000 0.000 Al
0.719 0.719 0.134 As
0.746 0.746 0.619 Cl
```



(4)
A relaxed structure of Tm5NiPd4. Source: Alexandria via LeMat-Bulk, functional PBE-GGA.

* formation energy from the elements: -0.84 eV/atom
* space-group type: P4/mmm (123)
* electronic total energy: -5.726 eV per atom

POSCAR file:
```
Tm5NiPd4
1.0
3.409 0.000 0.000
0.000 3.409 0.000
0.000 0.000 17.491
Tm Ni Pd
5 1 4
direct
0.000 0.000 0.000 Tm
0.000 0.000 0.204 Tm
0.000 0.000 0.407 Tm
0.000 0.000 0.593 Tm
0.000 0.000 0.796 Tm
0.500 0.500 0.500 Ni
0.500 0.500 0.102 Pd
0.500 0.500 0.303 Pd
0.500 0.500 0.697 Pd
0.500 0.500 0.898 Pd
```



(5)
A relaxed structure of Zn2CoPd. Source: Alexandria via LeMat-Bulk, functional PBE-GGA.

* formation energy from the elements: 0.10 eV/atom
* space-group type: R-3m (166)
* electronic total energy: -3.609 eV per atom

POSCAR file:
```
Zn2CoPd
1.0
1.350 0.780 9.268
-1.350 0.780 9.268
0.000 -1.559 9.268
Zn Co Pd
2 1 1
direct
0.088 0.088 0.088 Zn
0.912 0.912 0.912 Zn
0.000 0.000 0.000 Co
0.500 0.500 0.500 Pd
```



(6)
A relaxed structure of Ta2FeCoPt. Source: Alexandria via LeMat-Bulk, functional PBE-GGA.

* formation energy from the elements: 0.62 eV/atom
* space-group type: P4/mmm (123)
* electronic total energy: -8.444 eV per atom

POSCAR file:
```
Ta2FeCoPt
1.0
4.501 0.000 0.000
0.000 4.501 0.000
0.000 0.000 4.143
Ta Fe Co Pt
2 1 1 1
direct
0.000 0.500 0.000 Ta
0.500 0.000 0.000 Ta
0.000 0.000 0.500 Fe
0.000 0.000 0.000 Co
0.500 0.500 0.500 Pt
```



(7)
A relaxed structure of NbAl2Rh. Source: Alexandria via LeMat-Bulk, functional PBE-GGA.

* formation energy from the elements: -0.70 eV/atom
* space-group type: P4/mmm (123)
* electronic total energy: -6.931 eV per atom

POSCAR file:
```
NbAl2Rh
1.0
2.963 0.000 0.000
0.000 2.963 0.000
0.000 0.000 6.924
Nb Al Rh
1 2 1
direct
0.000 0.000 0.000 Nb
0.500 0.500 0.283 Al
0.500 0.500 0.717 Al
0.000 0.000 0.500 Rh
```



(8)
A relaxed structure of Na2Li2UO6. Source: Alexandria via LeMat-Bulk, functional PBE-GGA.

* space-group type: P-31m (162)
* ΔE_f (raw): -2.051 eV/atom
* electronic total energy: -6.370 eV per atom

POSCAR file:
```
Na2Li2UO6
1.0
5.322 0.000 0.000
-2.661 4.609 0.000
0.000 0.000 5.490
Na Li U O
2 2 1 6
direct
0.333 0.667 0.000 Na
0.667 0.333 0.000 Na
0.333 0.667 0.500 Li
0.667 0.333 0.500 Li
0.000 0.000 0.500 U
0.000 0.321 0.702 O
0.000 0.679 0.298 O
0.321 0.000 0.702 O
0.321 0.321 0.298 O
0.679 0.000 0.298 O
0.679 0.679 0.702 O
```



Which of these has the lowest electronic total energy? Ta2FeCoPt



Look up the electronic total energy of the seventh one. -6.931 eV per atom